Entry from Alexandria via LeMat-Bulk: a geometry-optimized Ce4Al3Ga4 structure (PBE).

Lattice parameters (Å, degrees): 3.072 8.445 10.135 114.62 98.72 90.00
Element x y z (fractional)
Ga  0.500  0.816  0.000
Ga  0.500  0.184  0.000
Ga  0.279  0.779  0.558
Ga  0.721  0.221  0.442
Ce  0.351  0.515  0.701
Ce  0.649  0.814  0.299
Ce  0.649  0.485  0.299
Ce  0.351  0.186  0.701
Al  0.902  0.902  0.805
Al  0.000  0.500  0.000
Al  0.098  0.098  0.195

Uncorrected energy (eV/atom): -4.50
SG: Immm, No. 71
Density (Mg/m³): 6.48